5
Lattice="4.4935 0.0000 0.0000 0.0000 4.4935 0.0000 0.0000 0.0000 5.7390" Properties=species:S:1:pos:R:3 comment="GGA+U NiPbSe2F, optimized geometry" final_energy_ev_per_atom=-3.19 dos_ef_per_ev_fu=1.795 pbc="T T T"
Ni 0.0000 0.0000 0.0000
Pb 0.0000 0.0000 2.8695
Se 0.0000 2.2468 0.0000
Se 2.2468 0.0000 0.0000
F 2.2468 2.2468 2.8695